Below is crystalline LaZnCl4 at its relaxed geometry, with properties calculated at the GGA-PBE level.

CIF file:
```
data_LaZnCl4
_chemical_formula_sum 'La4 Zn4 Cl16'
_cell_length_a 8.351
_cell_length_b 8.351
_cell_length_c 8.351
_cell_angle_alpha 90.00
_cell_angle_beta 90.00
_cell_angle_gamma 90.00
_space_group_name_H-M_alt 'F -4 3 m'
_space_group_IT_number 216
_space_group_name_Hall 'F -4 2 3'
loop_
_atom_site_label
_atom_site_fract_x
_atom_site_fract_y
_atom_site_fract_z
_atom_site_occupancy
La1 0.000 0.000 0.000 1
Zn1 0.250 0.250 0.750 1
Cl1 0.125 0.125 0.375 1
```

Output
Uncorrected energy = -2.84 eV per atom